# 1
VASP calculation (SCAN) on a crystal of Cd4InSb relaxed with PBEsol.

Properties
Electronic total energy ... -31.9038 eV/atom
Formation energy without anion corrections ... 0.88 eV/f.u.
D(E_F) ... 2.218 states/eV/f.u.
Crystal system ... cubic
Size of the total moment ... 0.0000 μB per atom
Mass density ... 8.139 Mg/m³

Unit cell a=5.8284 b=5.8284 c=5.8284 alpha=60.00 beta=60.00 gamma=60.00
Element x y z (fractional)
1 Cd 0.3751 0.3751 0.8747
2 Sb 0.0000 0.0000 0.0000
3 In 0.7500 0.7500 0.7500
4 Cd 0.3751 0.8747 0.3751
5 Cd 0.8747 0.3751 0.3751
6 Cd 0.3751 0.3751 0.3751

# 2
VASP calculation (SCAN) on a crystal of CrInHg relaxed with PBEsol.

Properties
Energy relative to the lowest polymorph listed for this composition ... 0 meV/atom
Energy of formation from the pure elements ... 142 meV per atom
Electronic total energy ... -39.8375 eV/atom
D(E_F) ... 1.360 states/eV/f.u.
Crystal system ... tetragonal
Size of the total moment ... 1.3321 μB per atom
Mass density ... 10.472 Mg/m³

Unit cell a=3.1355 b=3.1355 c=6.3274 alpha=104.35 beta=104.35 gamma=90.00
Last column: magnetic moment on the atom in μB.
Element x y z (fractional)
1 In 0.3457 0.3457 0.6914  -0.09
2 Hg 0.6534 0.6534 0.3069  0.00
3 Cr 0.0009 0.0009 0.0017  3.79

# 3
VASP calculation (SCAN) on a crystal of Ca3Ac relaxed with PBEsol.

Properties
Energy of formation from the pure elements ... 67 meV per atom
Electronic total energy ... -29.7992 eV/atom
D(E_F) ... 5.345 states/eV/f.u.
Crystal system ... cubic
Size of the total moment ... 0.1353 μB per atom
Mass density ... 3.562 Mg/m³

Unit cell a=6.1176 b=6.1176 c=6.1176 alpha=60.00 beta=60.00 gamma=60.00
Last column: magnetic moment on the atom in μB.
Element x y z (fractional)
1 Ca 0.2500 0.2500 0.2500  0.02
2 Ca 0.5000 0.5000 0.5000  0.02
3 Ca 0.7500 0.7500 0.7500  0.02
4 Ac 0.0000 0.0000 0.0000  0.06

# 4
VASP calculation (SCAN) on a crystal of Ce3Ni4Ge4 relaxed with PBEsol.

Properties
Energy of formation from the pure elements ... -698 meV per atom
Electronic total energy ... -25.6740 eV/atom
D(E_F) ... 10.190 states/eV/f.u.
Crystal system ... orthorhombic
Size of the total moment ... 0.0001 μB per atom
Mass density ... 8.495 Mg/m³

Unit cell a=4.1626 b=6.5031 c=7.8449 alpha=114.49 beta=105.39 gamma=90.00
Element x y z (fractional)
1 Ge 0.5000 0.1947 0.0000
2 Ge 0.2139 0.7139 0.4278
3 Ni 0.3259 0.5212 0.6517
4 Ni 0.6741 0.4788 0.3483
5 Ce 0.1329 0.1329 0.2657
6 Ce 0.8671 0.8671 0.7343
7 Ni 0.3259 0.1305 0.6517
8 Ce 0.0000 0.5000 0.0000
9 Ni 0.6741 0.8695 0.3483
10 Ge 0.7861 0.2861 0.5722
11 Ge 0.5000 0.8053 0.0000